# 1
Entry from Alexandria via LeMat-Bulk: an optimized crystal structure of PaTiSe4 (PBE).

## Properties
raw formation energy: -1.215 eV/atom
crystal system: monoclinic
space-group type: C2/m

a = 7.672 Å, b = 7.672 Å, c = 6.629 Å
α = 114.53°, β = 114.53°, γ = 29.65°
Sites, in units of the cell vectors:
Pa: 0.000 0.000 0.000
Ti: 0.500 0.500 0.500
Se: 0.111 0.111 0.755
Se: 0.381 0.381 0.702
Se: 0.619 0.619 0.298
Se: 0.889 0.889 0.245

=====

# 2
Entry from Alexandria via LeMat-Bulk: an optimized crystal structure of LaSiSeBr2 (PBE).

## Properties
raw formation energy: -0.493 eV/atom
crystal system: tetragonal
space-group type: P4/mmm

a = 5.768 Å, b = 5.768 Å, c = 5.887 Å
α = 90.00°, β = 90.00°, γ = 90.00°
Sites, in units of the cell vectors:
La: 0.000 0.000 0.000
Si: 0.500 0.500 0.500
Se: 0.000 0.000 0.500
Br: 0.000 0.500 0.000
Br: 0.500 0.000 0.000

=====

How do the records compare in polymorph energy (0 for the lowest one)? In the order shown, they have 0 65 meV per atom.